A plane-wave DFT calculation with GGA+U was carried out for crystalline Er2NpCoO8 at its relaxed geometry.

Its magnetic moment is 4.010 Bohr magnetons per cell. For the energy, the calculation gives -0.300 hartree per atom.

The space group is P2/m (No. 10) and the conventional cell measures 4.914, 6.800 and 4.915 Å, with angles of 90.00, 93.39 and 90.00 degrees. The inequivalent atoms are Er at (0.000, 0.239, 0.000), Np at (0.500, 0.500, 0.500), Co at (0.500, 0.000, 0.500), O at (0.202, 0.500, 0.200), O at (0.227, 0.000, 0.226) and O at (0.315, 0.272, 0.683).